VASP calculation (PBE-GGA) on crystalline EuGdCd at its relaxed geometry.

Calculated values
Electronic total energy   -25.471 eV/cell
Formation enthalpy at 0 K   -67 meV per atom

a b c (Å): 3.545 5.431 5.431
angles (deg): 120.00 90.00 90.00
Site moments in Bohr magnetons follow the coordinates.
Atoms (fractional coordinates):
Eu  0.975  0.000  0.000  -6.88
Gd  0.375  0.333  0.667  7.09
Cd  0.650  0.667  0.333  0.00